A plane-wave DFT calculation with GGA-PBE was carried out for a relaxed HfZr2Ir crystal.

It has space group I-42d (No. 122), with a = 7.867 Å, b = 7.867 Å, c = 5.682 Å, α = 90.00°, β = 90.00° and γ = 90.00°. The distinct sites, in fractional coordinates, are Hf at (0.000, 0.000, 0.000), Zr at (0.203, 0.250, 0.625) and Ir at (0.000, 0.000, 0.500).

For the magnetization, the calculation gives 0.00 μB/cell. The energy above the most stable polymorph in this dataset is 370.3 meV per atom. For the energy of formation, the calculation gives -0.116 eV/atom.